Computed, not measured: an optimized crystal structure of CeAgW2O8 at the PBE with a Hubbard U level of DFT.

The structure belongs to space group C2/m (No. 12); the cell edges are 10.340, 11.166 and 7.414 Å and the angles 90.00°, 127.95° and 90.00°. Symmetry generates all atoms from Ce at (0.000, 0.204, 0.000), Ag at (0.192, 0.000, 0.522), W at (0.000, 0.342, 0.500), W at (0.217, 0.500, 0.975), O at (0.018, 0.500, 0.339), O at (0.050, 0.242, 0.358), O at (0.054, 0.000, 0.852), O at (0.177, 0.375, 0.095) and O at (0.226, 0.377, 0.762).

As for the crystal system: monoclinic. The calculation puts the uncorrected energy at -0.2692 hartree per atom.